A plane-wave DFT calculation with PBE-GGA was carried out for a relaxed structure of K2SeI6.

Unit cell a=7.808 b=7.808 c=14.826 alpha=90.00 beta=90.00 gamma=90.00
Fractional coordinates of all 18 atoms:
1 I 0.679 0.679 0.862
2 I 0.242 0.758 0.000
3 I 0.179 0.821 0.638
4 I 0.321 0.321 0.862
5 I 0.742 0.742 0.500
6 I 0.679 0.679 0.138
7 I 0.821 0.179 0.362
8 I 0.821 0.179 0.638
9 I 0.321 0.321 0.138
10 I 0.258 0.258 0.500
11 I 0.179 0.821 0.362
12 I 0.758 0.242 0.000
13 Se 0.500 0.500 0.000
14 Se 0.000 0.000 0.500
15 K 0.000 0.000 0.166
16 K 0.000 0.000 0.834
17 K 0.500 0.500 0.334
18 K 0.500 0.500 0.666

Values from the calculation:
Formation energy from raw total energies in eV per atom: -0.55